Material: K2In2Cl5
Method: DFT, GGA-PBE
State: relaxed

It has space group Ima2 (No. 46), with a = 21.756 Å, b = 7.593 Å, c = 7.661 Å, α = 90.00°, β = 90.00° and γ = 90.00°. Symmetry generates all atoms from K at (0.112, 0.011, 0.000), In at (0.000, 0.000, 0.450), In at (0.250, 0.519, 0.052), Cl at (0.021, 0.742, 0.205), Cl at (0.123, 0.084, 0.417) and Cl at (0.250, 0.620, 0.444).

The mass density is 2.55 g cm⁻³. The calculation puts the formation energy from raw total energies at -1.340 eV/atom. Its spin magnetization is 0.000 μB per formula unit. The total energy comes out at -3.2181 eV per atom.